(A)
Mg14AlCoO16 | GGA+U | relaxed

As for the volume: 307 Å³ per cell. For the density of states at the Fermi level, the calculation gives 0.033 states/eV per atom.

a = 8.510 Å, b = 8.510 Å, c = 4.244 Å
α = 90.00°, β = 90.00°, γ = 90.00°
Fractional coordinates of all 32 atoms:
Mg  0.000  0.244  0.000
Mg  0.000  0.500  0.500
Mg  0.000  0.756  0.000
Mg  0.244  0.000  0.000
Mg  0.244  0.244  0.500
Mg  0.244  0.756  0.500
Mg  0.248  0.500  0.000
Mg  0.500  0.000  0.500
Mg  0.500  0.248  0.000
Mg  0.500  0.752  0.000
Mg  0.752  0.500  0.000
Mg  0.756  0.000  0.000
Mg  0.756  0.244  0.500
Mg  0.756  0.756  0.500
Al  0.500  0.500  0.500
Co  0.000  0.000  0.500
O  0.000  0.000  0.000
O  0.000  0.267  0.500
O  0.000  0.500  0.000
O  0.000  0.733  0.500
O  0.251  0.251  0.000
O  0.251  0.749  0.000
O  0.267  0.000  0.500
O  0.272  0.500  0.500
O  0.500  0.000  0.000
O  0.500  0.272  0.500
O  0.500  0.500  0.000
O  0.500  0.728  0.500
O  0.728  0.500  0.500
O  0.733  0.000  0.500
O  0.749  0.251  0.000
O  0.749  0.749  0.000


(B)
Mg14AlCoO16 | GGA+U | relaxed

As for the volume: 307 Å³ per cell.

a = 4.243 Å, b = 8.494 Å, c = 8.516 Å
α = 90.00°, β = 90.00°, γ = 90.00°
Fractional coordinates of all 32 atoms:
Mg  0.000  0.000  0.000
Mg  0.000  0.000  0.500
Mg  0.000  0.252  0.245
Mg  0.000  0.252  0.755
Mg  0.000  0.748  0.245
Mg  0.000  0.748  0.755
Mg  0.500  0.000  0.248
Mg  0.500  0.000  0.752
Mg  0.500  0.251  0.500
Mg  0.500  0.254  0.000
Mg  0.500  0.500  0.243
Mg  0.500  0.500  0.757
Mg  0.500  0.746  0.000
Mg  0.500  0.749  0.500
Al  0.000  0.500  0.500
Co  0.000  0.500  0.000
O  0.000  0.000  0.256
O  0.000  0.000  0.744
O  0.000  0.239  0.000
O  0.000  0.265  0.500
O  0.000  0.500  0.281
O  0.000  0.500  0.719
O  0.000  0.735  0.500
O  0.000  0.761  0.000
O  0.500  0.000  0.000
O  0.500  0.000  0.500
O  0.500  0.251  0.251
O  0.500  0.251  0.749
O  0.500  0.500  0.000
O  0.500  0.500  0.500
O  0.500  0.749  0.251
O  0.500  0.749  0.749


If you had to bet on the most stable structure above, which would it be? Bet on (B).